(1)
Below is a PBEsol-optimized structure of LaSIO2, with properties calculated at the meta-GGA SCAN level.

Formation energy (no corrections) = -5.12 eV/f.u.

abc: 4.1824 4.1824 7.2180
angles: 90.00 90.00 90.00
Last column: nearest neighbours and their distance in Å.
Space group P4/mmm (No. 123)
Unique sites:
La1 0.0000 0.0000 0.0000 (multiplicity 1)  4 O 2.09
S1 0.5000 0.5000 0.5000 (multiplicity 1)  4 I 2.96
I1 0.0000 0.0000 0.5000 (multiplicity 1)  4 S 2.96
O1 0.0000 0.5000 0.0000 (multiplicity 2)  2 La 2.09

=====

(2)
Below is a PBEsol-optimized structure of InTeAu, with properties calculated at the meta-GGA SCAN level.

Formation energy (no corrections) = -0.72 eV/f.u.

abc: 4.1226 4.1226 4.9752
angles: 90.00 90.00 120.00
Last column: nearest neighbours and their distance in Å.
Space group P3m1 (No. 156)
Unique sites:
In1 0.0000 0.0000 0.0000 (multiplicity 1)  3 Au 2.79, 3 Te 3.11
Te1 0.6667 0.3333 0.5966 (multiplicity 1)  3 Au 2.82, 3 In 3.11
Au1 0.3333 0.6667 0.2916 (multiplicity 1)  3 In 2.79, 3 Te 2.82

=====

(3)
Below is a PBEsol-optimized structure of Rh2O3, with properties calculated at the meta-GGA SCAN level.

Formation energy (no corrections) = -4.88 eV/f.u.

abc: 5.1344 5.4179 14.6576
angles: 90.00 90.00 90.00
Last column: nearest neighbours and their distance in Å.
Space group Pbca (No. 61)
Unique sites:
Rh1 0.0006 0.1802 0.0755 (multiplicity 8)  6 O 2.00-2.06
Rh2 0.0007 0.2496 0.3213 (multiplicity 8)  6 O 2.01-2.12
O1 0.1422 0.1108 0.2028 (multiplicity 8)  4 Rh 2.02-2.12
O2 0.1512 0.6589 0.5522 (multiplicity 8)  4 Rh 2.02-2.07
O3 0.2001 0.5336 0.8755 (multiplicity 8)  4 Rh 2.00-2.09

=====

(4)
Below is a PBEsol-optimized structure of Pm2GaSn, with properties calculated at the meta-GGA SCAN level.

DFT formation energy = -0.674 eV per atom

abc: 7.4309 7.4309 7.4309
angles: 90.00 90.00 90.00
Last column: nearest neighbours and their distance in Å.
Space group Fm-3m (No. 225)
Unique sites:
Pm1 0.2500 0.2500 0.2500 (multiplicity 8)  4 Sn 3.22, 4 Ga 3.22
Ga1 0.0000 0.0000 0.0000 (multiplicity 4)  8 Pm 3.22
Sn1 0.0000 0.0000 0.5000 (multiplicity 4)  8 Pm 3.22

=====

(5)
Below is a PBEsol-optimized structure of BeMoAs2, with properties calculated at the meta-GGA SCAN level.

DFT formation energy = 0.294 eV per atom

abc: 5.5601 6.4247 3.1917
angles: 90.00 90.00 90.00
Last column: nearest neighbours and their distance in Å.
Space group Cmmm (No. 65)
Unique sites:
Be1 0.0000 0.0000 0.0000 (multiplicity 2)  8 As 2.66, 2 Mo 2.78
Mo1 0.0000 0.5000 0.0000 (multiplicity 2)  8 As 2.66, 2 Be 2.78
As1 0.2500 0.2500 0.5000 (multiplicity 4)  4 Mo 2.66, 4 Be 2.66, 2 As 2.78

=====

(6)
Below is a PBEsol-optimized structure of LaTiBi3, with properties calculated at the meta-GGA SCAN level.

DFT formation energy = 0.816 eV per atom

abc: 5.9444 5.9444 5.9444
angles: 90.00 90.00 90.00
Last column: nearest neighbours and their distance in Å.
Space group Pm-3m (No. 221)
Unique sites:
La1 0.0000 0.0000 0.0000 (multiplicity 1)  6 Bi 2.97
Ti1 0.5000 0.5000 0.5000 (multiplicity 1)  12 Bi 4.20
Bi1 0.0000 0.0000 0.5000 (multiplicity 3)  2 La 2.97

=====

(7)
Below is a PBEsol-optimized structure of ZrSiSb2Pt, with properties calculated at the meta-GGA SCAN level.

Formation energy (no corrections) = 1.96 eV/f.u.

abc: 5.1189 5.1189 4.4290
angles: 90.00 90.00 90.00
Last column: nearest neighbours and their distance in Å.
Space group P4/mmm (No. 123)
Unique sites:
Zr1 0.0000 0.0000 0.0000 (multiplicity 1)  8 Sb 3.38, 4 Pt 3.62
Si1 0.5000 0.5000 0.5000 (multiplicity 1)  2 Pt 2.21
Sb1 0.0000 0.5000 0.5000 (multiplicity 2)  2 Si 2.56
Pt1 0.5000 0.5000 0.0000 (multiplicity 1)  2 Si 2.21

=====

(8)
Below is a PBEsol-optimized structure of LaScP2, with properties calculated at the meta-GGA SCAN level.

DFT formation energy = -1.669 eV per atom
ΔE to the lowest computed polymorph = 0.0 kJ/mol of atoms

abc: 3.9799 3.9799 19.3591
angles: 90.00 90.00 120.00
Last column: nearest neighbours and their distance in Å.
Space group R-3m (No. 166, hexagonal axes)
Unique sites:
La1 0.0000 0.0000 0.0000 (multiplicity 3)  6 P 2.92
Sc1 0.0000 0.0000 0.5000 (multiplicity 3)  6 P 2.70
P1 0.0000 0.0000 0.2400 (multiplicity 6)  3 Sc 2.70, 3 La 2.92

=====

(9)
Below is a PBEsol-optimized structure of Tl2Hg, with properties calculated at the meta-GGA SCAN level.

DFT formation energy = 0.010 eV per atom
ΔE to the lowest computed polymorph = 1.9 kJ/mol of atoms

abc: 13.8255 13.8255 13.8255
angles: 90.00 90.00 90.00
Last column: nearest neighbours and their distance in Å.
Space group Fd-3m (No. 227, origin choice 2)
Unique sites:
Tl1 0.0000 0.0000 0.0000 (multiplicity 16)  6 Hg 3.05
Tl2 0.0636 0.3750 0.8750 (multiplicity 48)  4 Hg 3.15-3.53
Hg1 0.0350 0.0350 0.2150 (multiplicity 32)  6 Tl 3.05-3.15

=====

(10)
Below is a PBEsol-optimized structure of ZrCrTc2, with properties calculated at the meta-GGA SCAN level.

DFT formation energy = 0.039 eV per atom

abc: 2.7657 4.2824 5.1176
angles: 90.00 100.91 90.00
Last column: nearest neighbours and their distance in Å.
Space group Pm (No. 6)
Unique sites:
Zr1 0.0000 0.0000 0.0000 (multiplicity 1)  4 Tc 2.65-2.69, 2 Cr 2.71, 2 Zr 2.77
Cr1 0.7522 0.5000 0.2705 (multiplicity 1)  3 Tc 2.48-2.57, 2 Zr 2.71, 2 Cr 2.77
Tc1 0.2342 0.5000 0.7310 (multiplicity 1)  1 Cr 2.48, 4 Tc 2.65-2.77, 2 Zr 2.69
Tc2 0.5134 0.0000 0.4918 (multiplicity 1)  2 Cr 2.57, 2 Zr 2.65-2.69, 4 Tc 2.65-2.77

=====

(11)
Below is a PBEsol-optimized structure of MnZn2Pb, with properties calculated at the meta-GGA SCAN level.

DFT formation energy = 0.148 eV per atom

abc: 8.9550 3.1362 5.2151
angles: 90.00 101.43 90.00
Last column: nearest neighbours and their distance in Å.
Space group C2/m (No. 12)
Unique sites:
Mn1 0.0000 0.0000 0.0000 (multiplicity 2)  6 Zn 2.66-2.74
Zn1 0.2362 0.5000 0.1896 (multiplicity 4)  2 Zn 2.57, 3 Mn 2.66-2.74
Pb1 0.0000 0.5000 0.5000 (multiplicity 2)  6 Zn 2.91-3.02, 4 Mn 3.04, 2 Pb 3.14

=====

(12)
Below is a PBEsol-optimized structure of LaSc2Rh, with properties calculated at the meta-GGA SCAN level.

DFT formation energy = -0.211 eV per atom

abc: 6.9705 6.9705 6.9705
angles: 90.00 90.00 90.00
Last column: nearest neighbours and their distance in Å.
Space group F-43m (No. 216)
Unique sites:
La1 0.0000 0.0000 0.0000 (multiplicity 4)  4 Sc 3.02, 4 Rh 3.02
Sc1 0.0000 0.0000 0.5000 (multiplicity 4)  4 Rh 3.02, 4 Sc 3.02
Sc2 0.2500 0.2500 0.2500 (multiplicity 4)  4 La 3.02, 4 Sc 3.02
Rh1 0.2500 0.2500 0.7500 (multiplicity 4)  4 La 3.02, 4 Sc 3.02

=====

(13)
Below is a PBEsol-optimized structure of BiSe2BrN, with properties calculated at the meta-GGA SCAN level.

Formation energy (no corrections) = 5.88 eV/f.u.
ΔE to the lowest computed polymorph = 0.0 kJ/mol of atoms

abc: 5.5403 5.5403 4.3484
angles: 90.00 90.00 90.00
Last column: nearest neighbours and their distance in Å.
Space group P4/mmm (No. 123)
Unique sites:
Bi1 0.0000 0.0000 0.0000 (multiplicity 1)  2 N 2.17
Se1 0.0000 0.5000 0.0000 (multiplicity 2)  2 Bi 2.77
Br1 0.5000 0.5000 0.5000 (multiplicity 1)  8 Se 3.52, 4 N 3.92
N1 0.0000 0.0000 0.5000 (multiplicity 1)  2 Bi 2.17